# KScSn

Crystalline KScSn at its relaxed geometry (PBE, Alexandria).

- Mass density: 3.048 Mg/m³
- Total magnetization: 0.000 μB/atom
- DFT total energy: -4.040 eV per atom

The structure in CIF format:
```
data_KScSn
_symmetry_space_group_name_H-M 'P 1'
_symmetry_Int_Tables_number 1
_cell_length_a 8.600
_cell_length_b 4.966
_cell_length_c 10.732
_cell_angle_alpha 90.00
_cell_angle_beta 105.43
_cell_angle_gamma 90.00
loop_
_symmetry_equiv_pos_as_xyz
'x,y,z'
loop_
_atom_site_label
_atom_site_type_symbol
_atom_site_fract_x
_atom_site_fract_y
_atom_site_fract_z
K1 K 0.000 0.000 0.000
K2 K 0.066 0.500 0.701
K3 K 0.500 0.500 0.000
K4 K 0.566 0.000 0.701
Sc1 Sc 0.137 0.000 0.411
Sc2 Sc 0.249 0.500 0.246
Sc3 Sc 0.637 0.500 0.411
Sc4 Sc 0.749 0.000 0.246
Sn1 Sn 0.339 0.500 0.519
Sn2 Sn 0.412 0.000 0.235
Sn3 Sn 0.839 0.000 0.519
Sn4 Sn 0.912 0.500 0.235
```

***

# KScSn2

Crystalline KScSn2 at its relaxed geometry (PBE, Alexandria).

- Mass density: 4.481 Mg/m³
- Total magnetization: 0.000 μB/atom
- DFT total energy: -4.225 eV per atom

The structure in CIF format:
```
data_KScSn2
_symmetry_space_group_name_H-M 'P 1'
_symmetry_Int_Tables_number 1
_cell_length_a 3.882
_cell_length_b 3.882
_cell_length_c 7.904
_cell_angle_alpha 90.00
_cell_angle_beta 90.00
_cell_angle_gamma 90.00
loop_
_symmetry_equiv_pos_as_xyz
'x,y,z'
loop_
_atom_site_label
_atom_site_type_symbol
_atom_site_fract_x
_atom_site_fract_y
_atom_site_fract_z
K1 K 0.000 0.000 0.000
Sc1 Sc 0.000 0.000 0.500
Sn1 Sn 0.500 0.500 0.316
Sn2 Sn 0.500 0.500 0.684
```

***

# KSc3Sn

Crystalline KSc3Sn at its relaxed geometry (PBE, Alexandria).

- Mass density: 2.767 Mg/m³
- Total magnetization: 0.736 μB/atom
- DFT total energy: -4.421 eV per atom

The structure in CIF format:
```
data_KSc3Sn
_symmetry_space_group_name_H-M 'P 1'
_symmetry_Int_Tables_number 1
_cell_length_a 5.600
_cell_length_b 5.600
_cell_length_c 5.600
_cell_angle_alpha 90.00
_cell_angle_beta 90.00
_cell_angle_gamma 90.00
loop_
_symmetry_equiv_pos_as_xyz
'x,y,z'
loop_
_atom_site_label
_atom_site_type_symbol
_atom_site_fract_x
_atom_site_fract_y
_atom_site_fract_z
K1 K 0.000 0.000 0.000
Sc1 Sc 0.000 0.500 0.500
Sc2 Sc 0.500 0.000 0.500
Sc3 Sc 0.500 0.500 0.000
Sn1 Sn 0.500 0.500 0.500
```

***

Calculated DOS(E_F), 0.0 2.0 7.2 states/eV per cell (same order as the records).
Calculated excess energy over the best structure of this formula in the dataset, 136 0 0 meV/atom (same order as the records).
Calculated ΔH_f (0 K), -230 -366 398 meV/atom (same order as the records).